Entry 1:
First-principles (PBE-GGA) data for an optimized crystal structure of InCoIr2, as listed in Alexandria via LeMat-Bulk.

```
InCoIr2
1.0
-7.623 -4.335 -1.235
-6.635 -5.781 0.993
-8.070 -3.370 1.393
Co Ir In
1 2 1
direct
0.504 0.504 0.504 Co
0.246 0.246 0.246 Ir
0.997 0.997 0.997 Ir
0.753 0.753 0.753 In
```

Values from the calculation:
DOS at the Fermi energy in states/eV/f.u.: 5.33
Calculated volume in Å³/cell: 61
Total DFT energy (no corrections) in eV per atom: -6.6211
Formation enthalpy at 0 K in kJ/mol of formula units: 104.4

=====

Entry 2:
First-principles (PBE-GGA) data for an optimized crystal structure of Fe2MoAu, as listed in Alexandria via LeMat-Bulk.

```
Fe2MoAu
1.0
6.777 0.000 0.000
0.000 6.777 0.000
3.388 3.388 2.693
Fe Mo Au
4 2 2
direct
0.150 0.625 0.250 Fe
0.600 0.125 0.250 Fe
0.875 0.850 0.750 Fe
0.375 0.400 0.750 Fe
0.250 0.750 0.500 Mo
0.500 0.500 0.000 Mo
0.000 0.000 0.000 Au
0.750 0.250 0.500 Au
```

Values from the calculation:
DOS at the Fermi energy in states/eV/f.u.: 5.23
Calculated volume in Å³/cell: 124
Distance to the lowest polymorph of the same formula in meV per atom: 558
Total DFT energy (no corrections) in eV per atom: -7.0390
Formation enthalpy at 0 K in kJ/mol of formula units: 277.7

=====

Entry 3:
First-principles (PBE-GGA) data for an optimized crystal structure of PmAuBr, as listed in Alexandria via LeMat-Bulk.

```
PmAuBr
1.0
-3.781 -0.159 1.881
-0.269 -0.831 4.135
-0.628 11.735 4.478
Au Br Pm
2 2 2
direct
0.145 0.145 0.566 Au
0.855 0.855 0.434 Au
0.616 0.616 0.152 Br
0.384 0.384 0.848 Br
0.767 0.767 0.699 Pm
0.233 0.233 0.301 Pm
```

Values from the calculation:
DOS at the Fermi energy in states/eV/f.u.: 0.49
Calculated volume in Å³/cell: 191
Distance to the lowest polymorph of the same formula in meV per atom: 0
Total DFT energy (no corrections) in eV per atom: -4.4309
Formation energy without anion corrections in meV per atom: -1197.2

=====

Entry 4:
First-principles (PBE-GGA) data for an optimized crystal structure of Sr2TiH2, as listed in Alexandria via LeMat-Bulk.

```
Sr2TiH2
1.0
7.675 0.000 0.000
0.000 7.675 0.000
0.000 0.000 3.552
Ti H Sr
2 4 4
direct
0.500 0.500 0.000 Ti
0.000 0.000 0.000 Ti
0.645 0.145 0.000 H
0.855 0.645 0.000 H
0.355 0.855 0.000 H
0.145 0.355 0.000 H
0.329 0.171 0.500 Sr
0.829 0.329 0.500 Sr
0.171 0.671 0.500 Sr
0.671 0.829 0.500 Sr
```

Values from the calculation:
DOS at the Fermi energy in states/eV/f.u.: 4.52
Calculated volume in Å³/cell: 209
Distance to the lowest polymorph of the same formula in meV per atom: 141
Total DFT energy (no corrections) in eV per atom: -3.2849

=====

Among the records above, which one has the lowest calculated volume? InCoIr2

=====

Please write out number 4 again, unchanged.
First-principles (PBE-GGA) data for an optimized crystal structure of Sr2TiH2, as listed in Alexandria via LeMat-Bulk.

```
Sr2TiH2
1.0
7.675 0.000 0.000
0.000 7.675 0.000
0.000 0.000 3.552
Ti H Sr
2 4 4
direct
0.500 0.500 0.000 Ti
0.000 0.000 0.000 Ti
0.645 0.145 0.000 H
0.855 0.645 0.000 H
0.355 0.855 0.000 H
0.145 0.355 0.000 H
0.329 0.171 0.500 Sr
0.829 0.329 0.500 Sr
0.171 0.671 0.500 Sr
0.671 0.829 0.500 Sr
```

Values from the calculation:
DOS at the Fermi energy in states/eV/f.u.: 4.52
Calculated volume in Å³/cell: 209
Distance to the lowest polymorph of the same formula in meV per atom: 141
Total DFT energy (no corrections) in eV per atom: -3.2849